1.
DFT (PBE) results for Nd4TmMg after structural relaxation.

a b c (Å): 8.514 8.514 6.597
angles (deg): 109.34 109.34 103.50
Fractional coordinates of all 12 atoms:
Nd1 0.023 0.634 0.268
Nd2 0.097 0.232 0.234
Nd3 0.232 0.097 0.734
Nd4 0.366 0.977 0.232
Nd5 0.634 0.023 0.768
Nd6 0.768 0.903 0.266
Nd7 0.903 0.768 0.766
Nd8 0.977 0.366 0.732
Tm1 0.346 0.654 0.750
Tm2 0.654 0.346 0.250
Mg1 0.409 0.591 0.250
Mg2 0.591 0.409 0.750

## Properties
For the formation energy, the calculation gives 63 meV/atom. As for the electronic total energy: -49.5 eV for the cell shown. The space-group type is No. 15. For the energy above the most stable polymorph in this dataset, the calculation gives 0.0825 eV/atom.

2.
DFT (PBE) results for PdAu after structural relaxation.

a b c (Å): 4.946 4.946 4.946
angles (deg): 33.80 33.80 33.80
Fractional coordinates of all 2 atoms:
Pd1 0.000 0.000 0.000
Au1 0.500 0.500 0.500

## Properties
For the formation energy, the calculation gives -48 meV/atom. As for the electronic total energy: -8.6 eV for the cell shown. The space-group type is No. 166.

3.
DFT (PBE) results for SmTmCd6 after structural relaxation.

a b c (Å): 4.889 6.534 6.534
angles (deg): 66.81 90.00 90.00
Fractional coordinates of all 8 atoms:
Sm1 0.000 0.000 0.000
Tm1 0.500 0.730 0.730
Cd1 0.000 0.052 0.488
Cd2 0.000 0.488 0.052
Cd3 0.000 0.542 0.542
Cd4 0.500 0.193 0.193
Cd5 0.500 0.245 0.673
Cd6 0.500 0.673 0.245

## Properties
For the formation energy, the calculation gives -274 meV/atom. As for the electronic total energy: -16.9 eV for the cell shown. The space-group type is No. 38.